Compound: Ac3Pr3Nd2
Source: Alexandria via LeMat-Bulk
Functional: PBE
Structure: optimized geometry

Cell lengths 11.441, 11.441, 11.441 Å; angles 152.99, 152.60, 38.85 degrees
Fractional coordinates of all 8 atoms:
Ac  0.000  0.000  0.000
Ac  0.373  0.873  0.500
Ac  0.627  0.127  0.500
Pr  0.129  0.629  0.500
Pr  0.500  0.500  0.000
Pr  0.871  0.371  0.500
Nd  0.249  0.249  0.000
Nd  0.751  0.751  0.000

Computed properties:
Symmetry: Immm
Fermi-level density of states: 13.99 states/eV per cell
DFT total energy: -36.0 eV/cell

Compound: Li4TbU3Se8
Source: Alexandria via LeMat-Bulk
Functional: PBE
Structure: optimized geometry

Cell lengths 8.074, 8.074, 8.074 Å; angles 60.08, 60.08, 60.08 degrees
Fractional coordinates of all 16 atoms:
Li  0.000  0.000  0.000
Li  0.000  0.500  0.500
Li  0.500  0.000  0.500
Li  0.500  0.500  0.000
Tb  0.500  0.500  0.500
U  0.000  0.000  0.500
U  0.000  0.500  0.000
U  0.500  0.000  0.000
Se  0.247  0.247  0.746
Se  0.247  0.746  0.247
Se  0.253  0.253  0.253
Se  0.254  0.753  0.753
Se  0.746  0.247  0.247
Se  0.747  0.747  0.747
Se  0.753  0.254  0.753
Se  0.753  0.753  0.254

Computed properties:
Symmetry: R-3m
Raw formation energy: -1298 meV/atom
Fermi-level density of states: 14.32 states/eV per cell
DFT total energy: -94.8 eV/cell

Compound: Ru3PtBr
Source: Alexandria via LeMat-Bulk
Functional: PBE
Structure: optimized geometry

Cell lengths 4.919, 4.919, 4.919 Å; angles 90.00, 90.00, 90.00 degrees
Fractional coordinates of all 5 atoms:
Ru  0.000  0.000  0.500
Ru  0.000  0.500  0.000
Ru  0.500  0.000  0.000
Pt  0.000  0.000  0.000
Br  0.500  0.500  0.500

Computed properties:
Symmetry: Pm-3m
Raw formation energy: 1839 meV/atom
Fermi-level density of states: 4.89 states/eV per cell
DFT total energy: -26.3 eV/cell

Among the records above, which one has the highest Fermi-level density of states? Li4TbU3Se8

Please write out number 3 again, unchanged.
Compound: Ru3PtBr
Source: Alexandria via LeMat-Bulk
Functional: PBE
Structure: optimized geometry

Cell lengths 4.919, 4.919, 4.919 Å; angles 90.00, 90.00, 90.00 degrees
Fractional coordinates of all 5 atoms:
Ru  0.000  0.000  0.500
Ru  0.000  0.500  0.000
Ru  0.500  0.000  0.000
Pt  0.000  0.000  0.000
Br  0.500  0.500  0.500

Computed properties:
Symmetry: Pm-3m
Raw formation energy: 1839 meV/atom
Fermi-level density of states: 4.89 states/eV per cell
DFT total energy: -26.3 eV/cell

Among the records above, which one has the highest Fermi-level density of states? Li4TbU3Se8

Which value of Fermi-level density of states does entry 2 give? 14.32 states/eV per cell